Entry a
CdHPd2Pb | PBE | optimized geometry

Calculated values
volume = 15.96 A^3/atom
DOS at the Fermi energy = 0.3782 states/eV/atom
SG = P4/mmm, No. 123

The structure in extended XYZ format:
```
5
Lattice="4.3226 0.0000 0.0000 0.0000 4.3226 0.0000 0.0000 0.0000 4.2714" Properties=species:S:1:pos:R:3 pbc="T T T"
Cd 0.0000 0.0000 0.0000
H 0.0000 0.0000 2.1357
Pd 0.0000 2.1613 2.1357
Pd 2.1613 0.0000 2.1357
Pb 2.1613 2.1613 0.0000
```

Entry b
CdHPd2Pb | PBE | optimized geometry

Calculated values
volume = 18.86 A^3/atom
DOS at the Fermi energy = 0.4246 states/eV/atom
SG = P4/mmm, No. 123

The structure in extended XYZ format:
```
5
Lattice="5.2154 0.0000 0.0000 0.0000 5.2154 0.0000 0.0000 0.0000 3.4678" Properties=species:S:1:pos:R:3 pbc="T T T"
Cd 0.0000 0.0000 0.0000
H 0.0000 0.0000 1.7339
Pd 0.0000 2.6077 0.0000
Pd 2.6077 0.0000 0.0000
Pb 2.6077 2.6077 1.7339
```

In order of decreasing stability: entry a, entry b.

Entry a
Tl2CdHPb | PBE | optimized geometry

Calculated values
volume = 24.59 A^3/atom
DOS at the Fermi energy = 0.3937 states/eV/atom
SG = P4/mmm, No. 123

The structure in extended XYZ format:
```
5
Lattice="5.0529 0.0000 0.0000 0.0000 5.0529 0.0000 0.0000 0.0000 4.8149" Properties=species:S:1:pos:R:3 pbc="T T T"
Tl 0.0000 2.5264 0.0000
Tl 2.5264 0.0000 0.0000
Cd 0.0000 0.0000 2.4075
H 2.5264 2.5264 0.0000
Pb 2.5264 2.5264 2.4075
```

Entry b
Tl2CdHPb | PBE | optimized geometry

Calculated values
volume = 24.62 A^3/atom
DOS at the Fermi energy = 0.5365 states/eV/atom
SG = P4/mmm, No. 123

The structure in extended XYZ format:
```
5
Lattice="5.5336 0.0000 0.0000 0.0000 5.5336 0.0000 0.0000 0.0000 4.0198" Properties=species:S:1:pos:R:3 pbc="T T T"
Tl 0.0000 2.7668 0.0000
Tl 2.7668 0.0000 0.0000
Cd 0.0000 0.0000 2.0099
H 0.0000 0.0000 0.0000
Pb 2.7668 2.7668 2.0099
```

Entry c
Tl2CdHPb | PBE | optimized geometry

Calculated values
volume = 29.39 A^3/atom
DOS at the Fermi energy = 0.4261 states/eV/atom
SG = P4/mmm, No. 123

The structure in extended XYZ format:
```
5
Lattice="6.1078 0.0000 0.0000 0.0000 6.1078 0.0000 0.0000 0.0000 3.9389" Properties=species:S:1:pos:R:3 pbc="T T T"
Tl 0.0000 3.0539 0.0000
Tl 3.0539 0.0000 0.0000
Cd 0.0000 0.0000 1.9694
H 3.0539 3.0539 1.9694
Pb 3.0539 3.0539 0.0000
```

In order of decreasing stability: entry b, entry a, entry c.

Entry a
CdH2Pd | PBE | optimized geometry

Calculated values
volume = 12.12 A^3/atom
DOS at the Fermi energy = 0.2530 states/eV/atom
SG = R3m, No. 160

The structure in extended XYZ format:
```
12
Lattice="2.9342 0.0000 0.0000 -1.4671 2.5411 0.0000 0.0000 0.0000 19.5120" Properties=species:S:1:pos:R:3 pbc="T T T"
Cd 0.0000 0.0000 0.0000
Cd 0.0000 1.6941 13.0080
Cd 1.4671 0.8470 6.5040
H 0.0000 0.0000 10.5905
H 0.0000 0.0000 15.5906
H 0.0000 1.6941 4.0865
H 0.0000 1.6941 9.0866
H 1.4671 0.8470 2.5826
H 1.4671 0.8470 17.0944
Pd 0.0000 0.0000 3.3434
Pd 0.0000 1.6941 16.3514
Pd 1.4671 0.8470 9.8474
```

Entry b
CdH2Pd | PBE | optimized geometry

Calculated values
volume = 12.53 A^3/atom
DOS at the Fermi energy = 0.0782 states/eV/atom
SG = P2_1/c, No. 14

The structure in extended XYZ format:
```
16
Lattice="4.8663 0.0000 0.0000 0.0000 7.9484 0.0000 -1.4508 0.0000 5.1836" Properties=species:S:1:pos:R:3 pbc="T T T"
Cd 0.7353 0.5095 1.2176
Cd 0.0099 3.4647 3.8094
Cd 3.4057 4.4836 1.3742
Cd 2.6803 7.4389 3.9660
H 0.3708 5.3132 0.7024
H -0.3546 6.6094 3.2942
H 1.1313 1.4751 3.7826
H 1.8567 2.4991 1.1908
H 1.5589 5.4493 3.9929
H 2.2843 6.4732 1.4010
H 3.7701 1.3390 1.8894
H 3.0447 2.6352 4.4813
Pd 0.9628 5.7001 2.3381
Pd 0.2374 6.2224 4.9300
Pd 3.1781 1.7259 0.2537
Pd 2.4527 2.2482 2.8455
```

Entry c
CdH2Pd | PBE | optimized geometry

Calculated values
volume = 12.11 A^3/atom
DOS at the Fermi energy = 0.2073 states/eV/atom
SG = R-3m, No. 166

The structure in extended XYZ format:
```
12
Lattice="2.9377 0.0000 0.0000 -1.4688 2.5441 0.0000 0.0000 0.0000 19.4441" Properties=species:S:1:pos:R:3 pbc="T T T"
Cd 0.0000 0.0000 0.0000
Cd 0.0000 1.6961 12.9627
Cd 1.4688 0.8480 6.4814
H 0.0000 0.0000 2.4921
H 0.0000 0.0000 16.9519
H 0.0000 1.6961 10.4706
H 0.0000 1.6961 15.4548
H 1.4688 0.8480 3.9892
H 1.4688 0.8480 8.9735
Pd 0.0000 0.0000 9.7220
Pd 0.0000 1.6961 3.2407
Pd 1.4688 0.8480 16.2034
```

Entry d
CdH2Pd | PBE | optimized geometry

Calculated values
volume = 10.76 A^3/atom
DOS at the Fermi energy = 0.1566 states/eV/atom
SG = Fm-3m, No. 225

The structure in extended XYZ format:
```
16
Lattice="5.5633 0.0000 0.0000 0.0000 5.5633 0.0000 0.0000 0.0000 5.5633" Properties=species:S:1:pos:R:3 pbc="T T T"
Cd 0.0000 0.0000 0.0000
Cd 0.0000 2.7816 2.7816
Cd 2.7816 0.0000 2.7816
Cd 2.7816 2.7816 0.0000
H 1.3908 1.3908 1.3908
H 1.3908 1.3908 4.1724
H 1.3908 4.1724 1.3908
H 1.3908 4.1724 4.1724
H 4.1724 1.3908 1.3908
H 4.1724 1.3908 4.1724
H 4.1724 4.1724 1.3908
H 4.1724 4.1724 4.1724
Pd 0.0000 0.0000 2.7816
Pd 0.0000 2.7816 0.0000
Pd 2.7816 0.0000 0.0000
Pd 2.7816 2.7816 2.7816
```

In order of decreasing stability: entry b, entry c, entry a, entry d.

Entry a
CdHPd4 | PBE | optimized geometry

Calculated values
volume = 14.15 A^3/atom
DOS at the Fermi energy = 0.3379 states/eV/atom
SG = C2/c, No. 15

The structure in extended XYZ format:
```
12
Lattice="7.0686 -2.4765 0.0000 7.0686 2.4765 0.0000 -0.3530 0.0000 4.8503" Properties=species:S:1:pos:R:3 pbc="T T T"
Cd 6.8038 1.5934 3.6377
Cd 6.9803 -1.5934 1.2126
H 3.5343 1.2382 0.0000
H 3.3578 -1.2382 2.4252
Pd 2.6811 0.7431 1.3637
Pd 5.5473 0.7988 1.1214
Pd 2.5046 -0.7431 3.7889
Pd 8.4134 0.7988 1.3037
Pd 5.3708 -0.7988 3.5466
Pd 11.2796 0.7431 1.0614
Pd 8.2369 -0.7988 3.7289
Pd 11.1031 -0.7431 3.4866
```

Entry b
CdHPd4 | PBE | optimized geometry

Calculated values
volume = 15.79 A^3/atom
DOS at the Fermi energy = 0.4040 states/eV/atom
SG = P2, No. 3

The structure in extended XYZ format:
```
6
Lattice="4.0423 0.0000 0.0000 0.0000 3.8806 0.0000 -1.9810 0.0000 6.0409" Properties=species:S:1:pos:R:3 pbc="T T T"
Cd 0.0000 0.0000 0.0000
H -0.9905 0.9311 3.0204
Pd 0.0651 1.9337 1.9764
Pd 0.0414 3.8107 4.0965
Pd 2.0199 3.8107 1.9444
Pd 1.9962 1.9337 4.0645
```

In order of decreasing stability: entry a, entry b.

Entry a
CdH2Pd4 | PBE | optimized geometry

Calculated values
volume = 12.42 A^3/atom
DOS at the Fermi energy = 0.3327 states/eV/atom
SG = P1, No. 1

The structure in extended XYZ format:
```
14
Lattice="5.0376 0.0000 0.0000 0.7451 5.0092 0.0000 2.4333 2.1759 6.8898" Properties=species:S:1:pos:R:3 pbc="T T T"
Cd 0.0000 0.0000 0.0000
Cd 3.1707 1.1133 2.1635
H 4.1890 4.8854 6.8410
H 5.6306 3.9408 4.1485
H 6.4076 6.3735 5.3857
H 4.3306 2.4664 0.2462
Pd 3.9852 3.5548 3.4656
Pd 3.1781 3.7207 0.7596
Pd 4.7919 6.0071 4.8203
Pd 4.8831 3.4200 6.1986
Pd 5.7076 2.4064 1.4285
Pd 6.4922 4.8430 2.7658
Pd 6.5546 2.3164 4.1312
Pd 7.3868 4.7488 5.4737
```

Entry b
CdH2Pd4 | PBE | optimized geometry

Calculated values
volume = 12.50 A^3/atom
DOS at the Fermi energy = 0.3508 states/eV/atom
SG = C2, No. 5

The structure in extended XYZ format:
```
14
Lattice="5.0171 -2.5320 0.0000 5.0171 2.5320 0.0000 -2.9524 0.0000 6.8862" Properties=species:S:1:pos:R:3 pbc="T T T"
Cd 0.0000 0.0000 0.0000
Cd 3.5409 -0.9940 3.4431
H 2.1385 1.0756 3.9889
H -0.0182 -0.0581 5.9749
H 4.9434 1.0756 2.8972
H 7.1001 -0.0581 0.9113
Pd 3.1638 1.6076 2.0976
Pd 0.8731 0.0278 2.7456
Pd 3.9180 1.6076 4.7886
Pd 1.7050 -0.0004 5.5079
Pd 2.7213 -0.8852 0.7025
Pd 5.3768 -0.0004 1.3782
Pd 6.2087 0.0278 4.1405
Pd 4.3605 -0.8852 6.1837
```

In order of decreasing stability: entry b, entry a.

Entry a
Cd2HPdPt | PBE | optimized geometry

Calculated values
volume = 15.13 A^3/atom
DOS at the Fermi energy = 0.3925 states/eV/atom
SG = P4/mmm, No. 123

The structure in extended XYZ format:
```
5
Lattice="4.6757 0.0000 0.0000 0.0000 4.6757 0.0000 0.0000 0.0000 3.4599" Properties=species:S:1:pos:R:3 pbc="T T T"
Cd 0.0000 2.3378 0.0000
Cd 2.3378 0.0000 0.0000
H 0.0000 0.0000 0.0000
Pd 2.3378 2.3378 1.7300
Pt 0.0000 0.0000 1.7300
```

Entry b
Cd2HPdPt | PBE | optimized geometry

Calculated values
volume = 14.96 A^3/atom
DOS at the Fermi energy = 0.3144 states/eV/atom
SG = P4/mmm, No. 123

The structure in extended XYZ format:
```
5
Lattice="4.6797 0.0000 0.0000 0.0000 4.6797 0.0000 0.0000 0.0000 3.4161" Properties=species:S:1:pos:R:3 pbc="T T T"
Cd 0.0000 2.3399 0.0000
Cd 2.3399 0.0000 0.0000
H 0.0000 0.0000 0.0000
Pd 0.0000 0.0000 1.7080
Pt 2.3399 2.3399 1.7080
```

In order of decreasing stability: entry a, entry b.

Entry a
CdHPd2Rh | PBE | optimized geometry

Calculated values
volume = 13.49 A^3/atom
DOS at the Fermi energy = 0.9979 states/eV/atom
SG = P4/mmm, No. 123

The structure in extended XYZ format:
```
5
Lattice="3.9182 0.0000 0.0000 0.0000 3.9182 0.0000 0.0000 0.0000 4.3936" Properties=species:S:1:pos:R:3 pbc="T T T"
Cd 0.0000 0.0000 0.0000
H 0.0000 0.0000 2.1968
Pd 0.0000 1.9591 2.1968
Pd 1.9591 0.0000 2.1968
Rh 1.9591 1.9591 0.0000
```

Entry b
CdHPd2Rh | PBE | optimized geometry

Calculated values
volume = 13.32 A^3/atom
DOS at the Fermi energy = 1.0071 states/eV/atom
SG = P4/mmm, No. 123

The structure in extended XYZ format:
```
5
Lattice="4.1209 0.0000 0.0000 0.0000 4.1209 0.0000 0.0000 0.0000 3.9209" Properties=species:S:1:pos:R:3 pbc="T T T"
Cd 0.0000 0.0000 0.0000
H 2.0604 2.0604 1.9604
Pd 0.0000 2.0604 1.9604
Pd 2.0604 0.0000 1.9604
Rh 2.0604 2.0604 0.0000
```

In order of decreasing stability: entry b, entry a.

Entry a
CdHPdRh2 | PBE | optimized geometry

Calculated values
volume = 13.16 A^3/atom
DOS at the Fermi energy = 1.0602 states/eV/atom
SG = P4/mmm, No. 123

The structure in extended XYZ format:
```
5
Lattice="3.9048 0.0000 0.0000 0.0000 3.9048 0.0000 0.0000 0.0000 4.3150" Properties=species:S:1:pos:R:3 pbc="T T T"
Cd 0.0000 0.0000 0.0000
H 0.0000 0.0000 2.1575
Pd 1.9524 1.9524 0.0000
Rh 0.0000 1.9524 2.1575
Rh 1.9524 0.0000 2.1575
```

Entry b
CdHPdRh2 | PBE | optimized geometry

Calculated values
volume = 25.07 A^3/atom
DOS at the Fermi energy = 1.4478 states/eV/atom
SG = P4/mmm, No. 123

The structure in extended XYZ format:
```
5
Lattice="5.0035 0.0000 0.0000 0.0000 5.0035 0.0000 0.0000 0.0000 5.0061" Properties=species:S:1:pos:R:3 pbc="T T T"
Cd 0.0000 0.0000 0.0000
H 2.5017 2.5017 2.5030
Pd 0.0000 0.0000 2.5030
Rh 0.0000 2.5017 0.0000
Rh 2.5017 0.0000 0.0000
```

In order of decreasing stability: entry a, entry b.